Entry 1:
Compound: Y3OsBr3
Source: Alexandria
Functional: PBE
Structure: optimized geometry

Lattice parameters (Å, degrees): 8.5012 4.1681 11.8447 90.00 91.74 90.00
Last column: nearest neighbours and their distance in Å.
Positions (direct):
1 Y 0.0981 0.2500 0.3235  1 Os 2.78, 4 Br 2.92-3.02
2 Y 0.1542 0.2500 0.8586  3 Os 2.76-2.93, 1 Br 3.07
3 Y 0.2604 0.7500 0.1020  2 Os 2.78, 1 Br 3.05
4 Y 0.7396 0.2500 0.8980  2 Os 2.78, 1 Br 3.05
5 Y 0.8458 0.7500 0.1414  3 Os 2.76-2.93, 1 Br 3.07
6 Y 0.9019 0.7500 0.6765  1 Os 2.78, 4 Br 2.92-3.02
7 Os 0.0442 0.2500 0.0910  6 Y 2.76-2.93, 2 Os 3.07
8 Os 0.9558 0.7500 0.9090  6 Y 2.76-2.93, 2 Os 3.07
9 Br 0.1318 0.2500 0.5995  4 Y 3.02-3.27
10 Br 0.3355 0.7500 0.3553  3 Y 2.92-3.05
11 Br 0.4371 0.7500 0.8706  5 Y 3.17-3.32
12 Br 0.5629 0.2500 0.1294  5 Y 3.17-3.32
13 Br 0.6645 0.2500 0.6447  3 Y 2.92-3.05
14 Br 0.8682 0.7500 0.4005  4 Y 3.02-3.27

Output
* spin magnetization: 0.00 μB/f.u.
* DOS(E_F): 3.7 states/eV/f.u.
* space-group type: P2_1/m, No. 11
* formation energy from raw total energies: -1.210 eV per atom
* total energy: -6.302 eV per atom



Entry 2:
Compound: YOsBr2
Source: Alexandria
Functional: PBE
Structure: optimized geometry

Lattice parameters (Å, degrees): 9.3486 9.3486 9.3486 20.75 20.75 20.75
Last column: nearest neighbours and their distance in Å.
Positions (direct):
1 Y 0.0000 0.0000 0.0000  6 Br 2.87
2 Os 0.5000 0.5000 0.5000  2 Br 2.46
3 Br 0.4105 0.4105 0.4105  1 Os 2.46
4 Br 0.5895 0.5895 0.5895  1 Os 2.46

Output
* spin magnetization: 0.83 μB/f.u.
* DOS(E_F): 3.7 states/eV/f.u.
* space-group type: R-3m, No. 166
* formation energy from raw total energies: 0.222 eV per atom
* total energy: -5.038 eV per atom



Entry 3:
Compound: Y4OsBr4
Source: Alexandria
Functional: PBE
Structure: optimized geometry

Lattice parameters (Å, degrees): 8.9679 8.9679 6.5769 90.57 90.57 89.28
Last column: nearest neighbours and their distance in Å.
Positions (direct):
1 Y 0.0974 0.2487 0.0092  2 Os 2.91-2.92, 4 Br 2.97-3.16
2 Y 0.0994 0.7499 0.5099  2 Os 2.91-2.92, 4 Br 2.98-3.17
3 Y 0.2487 0.0974 0.5092  2 Os 2.91-2.92, 4 Br 2.97-3.16
4 Y 0.2501 0.9006 0.9901  2 Os 2.91-2.92, 4 Br 2.98-3.17
5 Y 0.7499 0.0994 0.0099  2 Os 2.91-2.92, 4 Br 2.98-3.17
6 Y 0.7513 0.9026 0.4908  2 Os 2.91-2.92, 4 Br 2.97-3.16
7 Y 0.9006 0.2501 0.4901  2 Os 2.91-2.92, 4 Br 2.98-3.17
8 Y 0.9026 0.7513 0.9908  2 Os 2.91-2.92, 4 Br 2.97-3.16
9 Os 0.0048 0.9952 0.2500  8 Y 2.91-2.92
10 Os 0.9952 0.0048 0.7500  8 Y 2.91-2.92
11 Br 0.1840 0.5804 0.9095  4 Y 2.98-3.16
12 Br 0.1897 0.4146 0.4073  4 Y 2.97-3.17
13 Br 0.4146 0.1897 0.9073  4 Y 2.97-3.17
14 Br 0.4196 0.8160 0.5905  4 Y 2.98-3.16
15 Br 0.5804 0.1840 0.4095  4 Y 2.98-3.16
16 Br 0.5854 0.8103 0.0927  4 Y 2.97-3.17
17 Br 0.8103 0.5854 0.5927  4 Y 2.97-3.17
18 Br 0.8160 0.4196 0.0905  4 Y 2.98-3.16

Output
* spin magnetization: 0.00 μB/f.u.
* space-group type: C2/c, No. 15
* formation energy from raw total energies: -1.275 eV per atom
* total energy: -6.139 eV per atom



Entry 4:
Compound: Y2OsBr
Source: Alexandria
Functional: PBE
Structure: optimized geometry

Lattice parameters (Å, degrees): 3.4038 3.4038 8.2004 90.00 90.00 90.00
Last column: nearest neighbours and their distance in Å.
Positions (direct):
1 Y 0.0000 0.0000 0.2049  4 Os 2.94
2 Y 0.0000 0.0000 0.7951  4 Os 2.94
3 Os 0.5000 0.5000 0.0000  8 Y 2.94
4 Br 0.5000 0.5000 0.5000  4 Br 3.40, 8 Y 3.41

Output
* spin magnetization: 0.00 μB/f.u.
* DOS(E_F): 1.4 states/eV/f.u.
* space-group type: P4/mmm, No. 123
* formation energy from raw total energies: -0.676 eV per atom
* total energy: -7.133 eV per atom



Entry 5:
Compound: YOsBr2
Source: Alexandria
Functional: PBE
Structure: optimized geometry

Lattice parameters (Å, degrees): 5.8709 5.8709 5.8709 139.47 139.47 58.66
Last column: nearest neighbours and their distance in Å.
Positions (direct):
1 Y 0.0000 0.0000 0.0000  4 Br 2.88
2 Os 0.7500 0.2500 0.5000  4 Br 2.88
3 Br 0.2500 0.7500 0.5000  4 Os 2.88
4 Br 0.5000 0.5000 0.0000  4 Y 2.88

Output
* spin magnetization: 0.75 μB/f.u.
* DOS(E_F): 4.3 states/eV/f.u.
* space-group type: I-4m2, No. 119
* formation energy from raw total energies: 0.264 eV per atom
* total energy: -4.995 eV per atom



Entry 6:
Compound: YOsBr2
Source: Alexandria
Functional: PBE
Structure: optimized geometry

Lattice parameters (Å, degrees): 5.0915 5.0915 5.0915 60.00 60.00 60.00
Last column: nearest neighbours and their distance in Å.
Positions (direct):
1 Y 0.0000 0.0000 0.0000  4 Br 3.12, 4 Os 3.12
2 Os 0.7500 0.7500 0.7500  4 Br 3.12, 4 Y 3.12
3 Br 0.2500 0.2500 0.2500  4 Br 3.12, 4 Y 3.12
4 Br 0.5000 0.5000 0.5000  4 Os 3.12, 4 Br 3.12

Output
* spin magnetization: 2.80 μB/f.u.
* DOS(E_F): 4.1 states/eV/f.u.
* space-group type: F-43m, No. 216
* formation energy from raw total energies: 0.440 eV per atom
* total energy: -4.820 eV per atom



Entry 7:
Compound: YOsBr2
Source: Alexandria
Functional: PBE
Structure: optimized geometry

Lattice parameters (Å, degrees): 4.9378 4.9378 4.9378 60.00 60.00 60.00
Last column: nearest neighbours and their distance in Å.
Positions (direct):
1 Y 0.0000 0.0000 0.0000  8 Br 3.02
2 Os 0.5000 0.5000 0.5000  8 Br 3.02
3 Br 0.2500 0.2500 0.2500  4 Os 3.02, 4 Y 3.02
4 Br 0.7500 0.7500 0.7500  4 Os 3.02, 4 Y 3.02

Output
* spin magnetization: 2.14 μB/f.u.
* DOS(E_F): 4.5 states/eV/f.u.
* space-group type: Fm-3m, No. 225
* formation energy from raw total energies: 0.363 eV per atom
* total energy: -4.897 eV per atom



Entry 8:
Compound: YOsBr2
Source: Alexandria
Functional: PBE
Structure: optimized geometry

Lattice parameters (Å, degrees): 4.1193 3.8154 7.4188 90.00 99.98 90.00
Last column: nearest neighbours and their distance in Å.
Positions (direct):
1 Y 0.0000 0.0000 0.0000  4 Os 2.87-2.89, 3 Br 3.00-3.03
2 Os 0.5319 0.5000 0.0878  3 Br 2.53-2.57
3 Br 0.2754 0.5000 0.7523  1 Os 2.53
4 Br 0.6388 0.0000 0.3227  2 Os 2.57

Output
* spin magnetization: 0.00 μB/f.u.
* DOS(E_F): 2.4 states/eV/f.u.
* space-group type: Pm, No. 6
* formation energy from raw total energies: -0.288 eV per atom
* total energy: -5.548 eV per atom



- Which value of formation energy from raw total energies does entry 5 give?
  0.264 eV per atom



Repeat the first record exactly.
Compound: Y3OsBr3
Source: Alexandria
Functional: PBE
Structure: optimized geometry

Lattice parameters (Å, degrees): 8.5012 4.1681 11.8447 90.00 91.74 90.00
Last column: nearest neighbours and their distance in Å.
Positions (direct):
1 Y 0.0981 0.2500 0.3235  1 Os 2.78, 4 Br 2.92-3.02
2 Y 0.1542 0.2500 0.8586  3 Os 2.76-2.93, 1 Br 3.07
3 Y 0.2604 0.7500 0.1020  2 Os 2.78, 1 Br 3.05
4 Y 0.7396 0.2500 0.8980  2 Os 2.78, 1 Br 3.05
5 Y 0.8458 0.7500 0.1414  3 Os 2.76-2.93, 1 Br 3.07
6 Y 0.9019 0.7500 0.6765  1 Os 2.78, 4 Br 2.92-3.02
7 Os 0.0442 0.2500 0.0910  6 Y 2.76-2.93, 2 Os 3.07
8 Os 0.9558 0.7500 0.9090  6 Y 2.76-2.93, 2 Os 3.07
9 Br 0.1318 0.2500 0.5995  4 Y 3.02-3.27
10 Br 0.3355 0.7500 0.3553  3 Y 2.92-3.05
11 Br 0.4371 0.7500 0.8706  5 Y 3.17-3.32
12 Br 0.5629 0.2500 0.1294  5 Y 3.17-3.32
13 Br 0.6645 0.2500 0.6447  3 Y 2.92-3.05
14 Br 0.8682 0.7500 0.4005  4 Y 3.02-3.27

Output
* spin magnetization: 0.00 μB/f.u.
* DOS(E_F): 3.7 states/eV/f.u.
* space-group type: P2_1/m, No. 11
* formation energy from raw total energies: -1.210 eV per atom
* total energy: -6.302 eV per atom